Entry 1:
DFT (GGA-PBE) results for a geometry-optimized Dy2VCu structure.

- ΔE to the lowest computed polymorph (eV/atom) = 0.565
- size of the total moment (μB/f.u.) = 3.018
- energy of formation from the pure elements (meV/atom) = 648
- VASP energy (eV per atom) = -4.957

Lattice parameters (Å, degrees): 10.4282 10.4282 10.4282 17.78 17.78 17.78
Positions (direct):
Dy  0.0927  0.0927  0.0927
Dy  0.9073  0.9073  0.9073
V  0.0000  0.0000  0.0000
Cu  0.5000  0.5000  0.5000

=====

Entry 2:
DFT (GGA-PBE) results for a geometry-optimized Dy2Y3Cu2 structure.

- size of the total moment (μB/f.u.) = 0.000
- energy of formation from the pure elements (meV/atom) = -117
- VASP energy (eV per atom) = -5.372

Lattice parameters (Å, degrees): 6.5338 6.5338 9.0574 115.68 115.68 32.10
Positions (direct):
Dy  0.1575  0.1575  0.3141
Dy  0.8425  0.8425  0.6859
Y  0.3869  0.3869  0.0581
Y  0.5000  0.5000  0.5000
Y  0.6131  0.6131  0.9419
Cu  0.1723  0.1723  0.7296
Cu  0.8277  0.8277  0.2704

=====

Entry 3:
DFT (GGA-PBE) results for a geometry-optimized DyYCu structure.

- ΔE to the lowest computed polymorph (eV/atom) = 0.042
- size of the total moment (μB/f.u.) = 0.388
- energy of formation from the pure elements (meV/atom) = -128
- VASP energy (eV per atom) = -5.182

Lattice parameters (Å, degrees): 6.6531 6.6531 6.6531 149.63 149.63 43.49
Positions (direct):
Dy  0.0000  0.0000  0.0000
Y  0.7230  0.7230  0.0000
Cu  0.3638  0.3638  0.0000

=====

Entry 4:
DFT (GGA-PBE) results for a geometry-optimized Dy4YCu4 structure.

- size of the total moment (μB/f.u.) = 0.000
- energy of formation from the pure elements (meV/atom) = -34
- VASP energy (eV per atom) = -4.618

Lattice parameters (Å, degrees): 8.6859 8.6859 5.8351 90.00 90.00 90.00
Positions (direct):
Dy  0.0589  0.6622  0.1514
Dy  0.1622  0.9411  0.6514
Dy  0.3378  0.5589  0.6514
Dy  0.4411  0.8378  0.1514
Dy  0.5589  0.1622  0.8486
Dy  0.6622  0.4411  0.3486
Dy  0.8378  0.0589  0.3486
Dy  0.9411  0.3378  0.8486
Y  0.2500  0.2500  0.2500
Y  0.7500  0.7500  0.7500
Cu  0.0243  0.6180  0.6294
Cu  0.1180  0.9757  0.1294
Cu  0.3820  0.5243  0.1294
Cu  0.4757  0.8820  0.6294
Cu  0.5243  0.1180  0.3706
Cu  0.6180  0.4757  0.8706
Cu  0.8820  0.0243  0.8706
Cu  0.9757  0.3820  0.3706

=====

Entry 5:
DFT (GGA-PBE) results for a geometry-optimized DyY2Cu structure.

- ΔE to the lowest computed polymorph (eV/atom) = 0.147
- size of the total moment (μB/f.u.) = 0.000
- energy of formation from the pure elements (meV/atom) = 38
- VASP energy (eV per atom) = -5.369

Lattice parameters (Å, degrees): 10.1113 10.1113 10.1113 20.56 20.56 20.56
Positions (direct):
Dy  0.0000  0.0000  0.0000
Y  0.2346  0.2346  0.2346
Y  0.7654  0.7654  0.7654
Cu  0.5000  0.5000  0.5000

=====

Entry 6:
DFT (GGA-PBE) results for a geometry-optimized Dy2Y2Cu3 structure.

- size of the total moment (μB/f.u.) = 0.000
- energy of formation from the pure elements (meV/atom) = -92
- VASP energy (eV per atom) = -5.010

Lattice parameters (Å, degrees): 7.5423 7.5423 7.5423 109.47 109.47 109.47
Positions (direct):
Dy  0.0000  0.6292  0.5000
Dy  0.5000  0.0000  0.6292
Dy  0.6292  0.5000  0.0000
Dy  0.8708  0.8708  0.8708
Y  0.0000  0.1311  0.5000
Y  0.1311  0.5000  0.0000
Y  0.3689  0.3689  0.3689
Y  0.5000  0.0000  0.1311
Cu  0.1238  0.8738  0.2500
Cu  0.2500  0.1238  0.8738
Cu  0.3762  0.6262  0.7500
Cu  0.6262  0.7500  0.3762
Cu  0.7500  0.3762  0.6262
Cu  0.8738  0.2500  0.1238

=====

Entry 7:
DFT (GGA-PBE) results for a geometry-optimized Dy3YCu4 structure.

- size of the total moment (μB/f.u.) = 0.000
- energy of formation from the pure elements (meV/atom) = -249
- VASP energy (eV per atom) = -4.831

Lattice parameters (Å, degrees): 3.4593 4.9180 9.8329 90.00 90.00 90.00
Positions (direct):
Dy  0.0000  0.0000  0.0000
Dy  0.0000  0.5000  0.2497
Dy  0.0000  0.5000  0.7503
Y  0.0000  0.0000  0.5000
Cu  0.5000  0.0000  0.2492
Cu  0.5000  0.0000  0.7508
Cu  0.5000  0.5000  0.0000
Cu  0.5000  0.5000  0.5000

=====

Entry 8:
DFT (GGA-PBE) results for a geometry-optimized Dy3Y2Cu4 structure.

- size of the total moment (μB/f.u.) = 0.000
- energy of formation from the pure elements (meV/atom) = -187
- VASP energy (eV per atom) = -4.978

Lattice parameters (Å, degrees): 8.4781 7.2454 7.0606 90.00 108.71 90.00
Positions (direct):
Dy  0.0000  0.0000  0.0000
Dy  0.0000  0.5000  0.5000
Dy  0.2663  0.1736  0.7704
Dy  0.2663  0.3264  0.2704
Dy  0.7337  0.6736  0.7296
Dy  0.7337  0.8264  0.2296
Y  0.3104  0.6803  0.9371
Y  0.3104  0.8197  0.4371
Y  0.6896  0.1803  0.5629
Y  0.6896  0.3197  0.0629
Cu  0.0101  0.6242  0.1206
Cu  0.0101  0.8758  0.6206
Cu  0.4354  0.0314  0.1514
Cu  0.4354  0.4686  0.6514
Cu  0.5646  0.5314  0.3486
Cu  0.5646  0.9686  0.8486
Cu  0.9899  0.1242  0.3794
Cu  0.9899  0.3758  0.8794

=====

Question: Which of these has the lowest energy of formation from the pure elements?
Answer: Dy3YCu4

=====

Question: Which formula does entry 6 have?
Answer: Dy2Y2Cu3